No. 1
The following is a DFT calculation (PBE+U) of a relaxed structure of CoCuPtO6.

Cell and atoms, written as CIF:
```
data_CoCuPtO6
_cell_length_a 4.9974
_cell_length_b 4.9974
_cell_length_c 8.5306
_cell_angle_alpha 90.00
_cell_angle_beta 90.00
_cell_angle_gamma 120.00
_space_group_name_H-M_alt 'P -3 1 c'
_space_group_IT_number 163
_space_group_name_Hall '-P 3 2c'
loop_
_atom_site_label
_atom_site_type_symbol
_atom_site_fract_x
_atom_site_fract_y
_atom_site_fract_z
Co1 Co 0.3333 0.6667 0.2500
Cu1 Cu 0.0000 0.0000 0.0000
Pt1 Pt 0.3333 0.6667 0.7500
O1 O 0.0165 0.3592 0.1277
```



No. 2
The following is a DFT calculation (PBE+U) of a relaxed structure of Pu2CoCuO8.

Cell and atoms, written as CIF:
```
data_Pu2CoCuO8
_cell_length_a 6.508
_cell_length_b 6.572
_cell_length_c 6.932
_cell_angle_alpha 90.00
_cell_angle_beta 90.00
_cell_angle_gamma 90.00
_space_group_name_H-M_alt 'C m m m'
_space_group_IT_number 65
_space_group_name_Hall '-C 2 2'
loop_
_atom_site_label
_atom_site_type_symbol
_atom_site_fract_x
_atom_site_fract_y
_atom_site_fract_z
Pu1 Pu 0.000 0.000 0.250
Co1 Co 0.000 0.500 0.000
Cu1 Cu 0.000 0.500 0.500
O1 O 0.000 0.293 0.245
O2 O 0.199 0.000 0.000
O3 O 0.200 0.000 0.500
```



No. 3
The following is a DFT calculation (PBE+U) of a relaxed structure of PuCo2CuO8.

Cell and atoms, written as CIF:
```
data_PuCo2CuO8
_cell_length_a 6.581
_cell_length_b 6.581
_cell_length_c 6.660
_cell_angle_alpha 90.00
_cell_angle_beta 90.00
_cell_angle_gamma 90.00
_space_group_name_H-M_alt 'I -4 m 2'
_space_group_IT_number 119
_space_group_name_Hall 'I -4 -2'
loop_
_atom_site_label
_atom_site_type_symbol
_atom_site_fract_x
_atom_site_fract_y
_atom_site_fract_z
Pu1 Pu 0.000 0.000 0.000
Co1 Co 0.000 0.000 0.500
Co2 Co 0.000 0.500 0.250
Cu1 Cu 0.000 0.500 0.750
O1 O 0.000 0.201 0.685
O2 O 0.000 0.287 0.066
```



No. 4
The following is a DFT calculation (PBE+U) of a relaxed structure of PuCo2CuO6.

Cell and atoms, written as CIF:
```
data_PuCo2CuO6
_cell_length_a 5.615
_cell_length_b 5.125
_cell_length_c 10.059
_cell_angle_alpha 90.00
_cell_angle_beta 121.58
_cell_angle_gamma 90.00
_space_group_name_H-M_alt 'P 1 21/c 1'
_space_group_IT_number 14
loop_
_space_group_symop_operation_xyz
'x,y,z'
'-x,-y,-z'
'-x,y+1/2,-z+1/2'
'x,-y+1/2,z+1/2'
loop_
_atom_site_label
_atom_site_type_symbol
_atom_site_fract_x
_atom_site_fract_y
_atom_site_fract_z
Pu1 Pu 0.000 0.000 0.000
Co1 Co 0.344 0.016 0.806
Cu1 Cu 0.500 0.000 0.500
O1 O 0.023 0.239 0.645
O2 O 0.325 0.709 0.683
O3 O 0.330 0.187 0.984
```



No. 5
The following is a DFT calculation (PBE+U) of a relaxed structure of PuCoCuO6.

Cell and atoms, written as CIF:
```
data_PuCoCuO6
_cell_length_a 5.1376
_cell_length_b 5.1376
_cell_length_c 8.9157
_cell_angle_alpha 90.00
_cell_angle_beta 90.00
_cell_angle_gamma 120.00
_space_group_name_H-M_alt 'P -3 1 c'
_space_group_IT_number 163
_space_group_name_Hall '-P 3 2c'
loop_
_atom_site_label
_atom_site_type_symbol
_atom_site_fract_x
_atom_site_fract_y
_atom_site_fract_z
Pu1 Pu 0.3333 0.6667 0.2500
Co1 Co 0.3333 0.6667 0.7500
Cu1 Cu 0.0000 0.0000 0.0000
O1 O 0.0038 0.3389 0.6295
```



No. 6
The following is a DFT calculation (PBE+U) of a relaxed structure of PuCoCu2O6.

Cell and atoms, written as CIF:
```
data_PuCoCu2O6
_cell_length_a 10.190
_cell_length_b 8.971
_cell_length_c 5.216
_cell_angle_alpha 90.00
_cell_angle_beta 99.57
_cell_angle_gamma 90.00
_space_group_name_H-M_alt 'C 1 2/c 1'
_space_group_IT_number 15
loop_
_space_group_symop_operation_xyz
'x,y,z'
'-x,-y,-z'
'-x,y,-z+1/2'
'x,-y,z+1/2'
'x+1/2,y+1/2,z'
'-x+1/2,-y+1/2,-z'
'-x+1/2,y+1/2,-z+1/2'
'x+1/2,-y+1/2,z+1/2'
loop_
_atom_site_label
_atom_site_type_symbol
_atom_site_fract_x
_atom_site_fract_y
_atom_site_fract_z
Pu1 Pu 0.000 0.238 0.250
Co1 Co 0.000 0.417 0.750
Cu1 Cu 0.199 0.101 0.826
O1 O 0.103 0.427 0.103
O2 O 0.106 0.263 0.625
O3 O 0.131 0.086 0.153
```



No. 7
The following is a DFT calculation (PBE+U) of a relaxed structure of RbCoCuO2.

Cell and atoms, written as CIF:
```
data_RbCoCuO2
_cell_length_a 5.600
_cell_length_b 12.215
_cell_length_c 4.873
_cell_angle_alpha 90.00
_cell_angle_beta 90.00
_cell_angle_gamma 90.00
_space_group_name_H-M_alt 'C m m e'
_space_group_IT_number 67
_space_group_name_Hall '-C 2a 2'
loop_
_atom_site_label
_atom_site_type_symbol
_atom_site_fract_x
_atom_site_fract_y
_atom_site_fract_z
Rb1 Rb 0.000 0.250 0.250
Co1 Co 0.250 0.000 0.000
Cu1 Cu 0.000 0.000 0.500
O1 O 0.000 0.092 0.803
```



No. 8
The following is a DFT calculation (PBE+U) of a relaxed structure of Rb2CoCuO4.

Cell and atoms, written as CIF:
```
data_Rb2CoCuO4
_cell_length_a 4.975
_cell_length_b 12.084
_cell_length_c 20.427
_cell_angle_alpha 90.00
_cell_angle_beta 90.00
_cell_angle_gamma 90.00
_space_group_name_H-M_alt 'F d d d'
_space_group_IT_number 70
loop_
_space_group_symop_operation_xyz
'x,y,z'
'-x,-y,-z'
'-x+1/4,-y+1/4,z'
'x+1/4,y+1/4,-z'
'x,-y+1/4,-z+1/4'
'-x,y+1/4,z+1/4'
'-x+1/4,y,-z+1/4'
'x+1/4,-y,z+1/4'
'x,y+1/2,z+1/2'
'-x,-y+1/2,-z+1/2'
'-x+1/4,-y+3/4,z+1/2'
'x+1/4,y+3/4,-z+1/2'
'x,-y+3/4,-z+3/4'
'-x,y+3/4,z+3/4'
'-x+1/4,y+1/2,-z+3/4'
'x+1/4,-y+1/2,z+3/4'
'x+1/2,y,z+1/2'
'-x+1/2,-y,-z+1/2'
'-x+3/4,-y+1/4,z+1/2'
'x+3/4,y+1/4,-z+1/2'
'x+1/2,-y+1/4,-z+3/4'
'-x+1/2,y+1/4,z+3/4'
'-x+3/4,y,-z+3/4'
'x+3/4,-y,z+3/4'
'x+1/2,y+1/2,z'
'-x+1/2,-y+1/2,-z'
'-x+3/4,-y+3/4,z'
'x+3/4,y+3/4,-z'
'x+1/2,-y+3/4,-z+1/4'
'-x+1/2,y+3/4,z+1/4'
'-x+3/4,y+1/2,-z+1/4'
'x+3/4,-y+1/2,z+1/4'
loop_
_atom_site_label
_atom_site_type_symbol
_atom_site_fract_x
_atom_site_fract_y
_atom_site_fract_z
Rb1 Rb 0.125 0.125 0.300
Co1 Co 0.125 0.125 0.625
Cu1 Cu 0.125 0.125 0.125
O1 O 0.108 0.284 0.830
```



| no. | density (g cm⁻³) | total energy (eV per atom) | volume (A^3/atom) |
| --- | --- | --- | --- |
| 1 | 7.444 | -5.407 | 10.3 |
| 2 | 8.272 | -8.394 | 12.4 |
| 3 | 6.371 | -6.733 | 12.0 |
| 4 | 7.022 | -7.326 | 12.3 |
| 5 | 7.536 | -7.304 | 11.3 |
| 6 | 7.431 | -7.106 | 11.8 |
| 7 | 4.781 | -4.953 | 16.7 |
| 8 | 3.866 | -4.816 | 19.2 |